1.
DFT (PBE) results for a relaxed Ho2Ni4GeAs3 crystal.

Summary:
- Formation energy from the elements: -774 meV per atom

Cell lengths 4.0456, 4.0456, 9.7787 Å; angles 90.00, 90.00, 90.00 degrees
Fractional coordinates of all 10 atoms:
Ho 0.5000 0.0000 0.2440
Ho 0.0000 0.5000 0.7560
Ni 0.5000 0.5000 0.0000
Ni 0.0000 0.0000 0.0000
Ni 0.5000 0.0000 0.6301
Ni 0.0000 0.5000 0.3699
Ge 0.5000 0.5000 0.5000
As 0.0000 0.0000 0.5000
As 0.5000 0.0000 0.8671
As 0.0000 0.5000 0.1329

***

2.
DFT (PBE) results for a relaxed HoPaGeAs crystal.

Summary:
- Formation energy from the elements: -967 meV per atom

Cell lengths 4.1382, 4.1382, 7.0574 Å; angles 72.95, 72.95, 60.00 degrees
Fractional coordinates of all 4 atoms:
Ho 0.6944 0.6944 0.9168
Pa 0.1931 0.1931 0.4207
Ge 0.4458 0.4458 0.6627
As 0.9431 0.9431 0.1706

***

3.
DFT (PBE) results for a relaxed Ho3GeAs2Rh9 crystal.

Summary:
- Formation energy from the elements: -465 meV per atom

Cell lengths 6.3004, 6.3004, 8.7048 Å; angles 90.00, 90.00, 120.00 degrees
Fractional coordinates of all 15 atoms:
Ho 0.3333 0.6667 0.7282
Ho 0.0000 0.0000 0.0000
Ho 0.6667 0.3333 0.2718
Ge 0.0000 0.0000 0.5000
As 0.3333 0.6667 0.1798
As 0.6667 0.3333 0.8202
Rh 0.8589 0.1411 0.7205
Rh 0.8589 0.7178 0.7205
Rh 0.2822 0.1411 0.7205
Rh 0.7178 0.8589 0.2795
Rh 0.1411 0.2822 0.2795
Rh 0.1411 0.8589 0.2795
Rh 0.5000 0.0000 0.0000
Rh 0.0000 0.5000 0.0000
Rh 0.5000 0.5000 0.0000

***

4.
DFT (PBE) results for a relaxed Ho6GeAs2S3 crystal.

Summary:
- ΔE_f (raw): -1680 meV/atom

Cell lengths 4.0240, 7.9953, 8.9557 Å; angles 102.45, 102.98, 90.00 degrees
Fractional coordinates of all 12 atoms:
Ho 0.3348 0.9188 0.6696
Ho 0.6663 0.5836 0.3327
Ho 0.6652 0.0812 0.3304
Ho 0.9994 0.2473 0.9988
Ho 0.0006 0.7527 0.0012
Ho 0.3337 0.4164 0.6673
Ge 0.5000 0.0000 0.0000
As 0.8328 0.6658 0.6657
As 0.1672 0.3342 0.3343
S 0.5000 0.5000 0.0000
S 0.8321 0.1675 0.6643
S 0.1679 0.8325 0.3357

***

5.
DFT (PBE) results for a relaxed Ho6Ge2As3S crystal.

Summary:
- ΔE_f (raw): -1357 meV/atom

Cell lengths 4.0327, 8.2320, 9.1346 Å; angles 102.91, 102.75, 90.00 degrees
Fractional coordinates of all 12 atoms:
Ho 0.3349 0.9194 0.6697
Ho 0.6660 0.5860 0.3320
Ho 0.6651 0.0806 0.3303
Ho 0.0007 0.2500 0.0013
Ho 0.9993 0.7500 0.9987
Ho 0.3340 0.4140 0.6680
Ge 0.8341 0.6684 0.6683
Ge 0.1659 0.3316 0.3317
As 0.5000 0.5000 0.0000
As 0.8351 0.1652 0.6703
As 0.1649 0.8348 0.3297
S 0.5000 0.0000 0.0000

***

6.
DFT (PBE) results for a relaxed Ho8Ge3AsSe4 crystal.

Summary:
- ΔE_f (raw): -1472 meV/atom

Cell lengths 8.2131, 8.2281, 8.2130 Å; angles 119.94, 120.00, 90.00 degrees
Fractional coordinates of all 16 atoms:
Ho 0.2467 0.7359 0.9892
Ho 0.2467 0.7359 0.4933
Ho 0.2543 0.2628 0.5086
Ho 0.7426 0.7359 0.9892
Ho 0.2574 0.2641 0.0108
Ho 0.7457 0.7372 0.4914
Ho 0.7533 0.2641 0.5067
Ho 0.7533 0.2641 0.0108
Ge 0.5000 0.5000 0.0000
Ge 0.5000 0.5000 0.5000
Ge 0.0000 0.5000 0.5000
As 0.0000 0.5000 0.0000
Se 0.5000 0.0000 0.0000
Se 0.5000 0.0000 0.5000
Se 0.0000 0.0000 0.0000
Se 0.0000 0.0000 0.5000

***

7.
DFT (PBE) results for a relaxed Ho8GeAs3Se4 crystal.

Summary:
- ΔE_f (raw): -1627 meV/atom

Cell lengths 8.1806, 8.1929, 8.1804 Å; angles 119.95, 120.00, 90.00 degrees
Fractional coordinates of all 16 atoms:
Ho 0.2442 0.7370 0.9928
Ho 0.2442 0.7370 0.4884
Ho 0.2542 0.2626 0.5084
Ho 0.7486 0.7370 0.9928
Ho 0.2514 0.2630 0.0072
Ho 0.7458 0.7374 0.4916
Ho 0.7558 0.2630 0.5116
Ho 0.7558 0.2630 0.0072
Ge 0.0000 0.5000 0.0000
As 0.5000 0.5000 0.0000
As 0.5000 0.5000 0.5000
As 0.0000 0.5000 0.5000
Se 0.5000 0.0000 0.0000
Se 0.5000 0.0000 0.5000
Se 0.0000 0.0000 0.0000
Se 0.0000 0.0000 0.5000

***

8.
DFT (PBE) results for a relaxed Ho8GeTe4As3 crystal.

Summary:
- ΔE_f (raw): -1411 meV/atom

Cell lengths 8.3835, 8.5431, 8.3837 Å; angles 119.39, 120.00, 90.00 degrees
Fractional coordinates of all 16 atoms:
Ho 0.2380 0.7182 0.9803
Ho 0.2380 0.7181 0.4759
Ho 0.2607 0.2822 0.5215
Ho 0.7423 0.7182 0.9803
Ho 0.2577 0.2818 0.0197
Ho 0.7393 0.7178 0.4785
Ho 0.7620 0.2819 0.5241
Ho 0.7620 0.2818 0.0197
Ge 0.0000 0.5000 0.0000
Te 0.5000 0.0000 0.0000
Te 0.5000 0.0000 0.5000
Te 0.0000 0.0000 0.0000
Te 0.0000 0.0000 0.5000
As 0.5000 0.5000 0.0000
As 0.5000 0.5000 0.5000
As 0.0000 0.5000 0.5000

***

9.
DFT (PBE) results for a relaxed Ho6Ge2TeAs3 crystal.

Summary:
- ΔE_f (raw): -1245 meV/atom

Cell lengths 4.0883, 8.4240, 9.3123 Å; angles 103.42, 102.68, 90.00 degrees
Fractional coordinates of all 12 atoms:
Ho 0.3267 0.9141 0.6535
Ho 0.6671 0.5869 0.3342
Ho 0.6733 0.0859 0.3465
Ho 0.0018 0.2688 0.0035
Ho 0.9982 0.7312 0.9965
Ho 0.3329 0.4131 0.6658
Ge 0.8333 0.6666 0.6666
Ge 0.1667 0.3334 0.3334
Te 0.5000 0.0000 0.0000
As 0.5000 0.5000 0.0000
As 0.8367 0.1662 0.6735
As 0.1633 0.8338 0.3265

***

10.
DFT (PBE) results for a relaxed Ho6GeTe3As2 crystal.

Summary:
- ΔE_f (raw): -1386 meV/atom

Cell lengths 4.1957, 8.5435, 9.5224 Å; angles 104.40, 102.73, 90.00 degrees
Fractional coordinates of all 12 atoms:
Ho 0.3419 0.9012 0.6839
Ho 0.6734 0.5660 0.3469
Ho 0.6581 0.0988 0.3161
Ho 0.0058 0.2303 0.0116
Ho 0.9942 0.7697 0.9884
Ho 0.3266 0.4340 0.6531
Ge 0.5000 0.0000 0.0000
Te 0.5000 0.5000 0.0000
Te 0.8320 0.1670 0.6640
Te 0.1680 0.8330 0.3360
As 0.8330 0.6658 0.6660
As 0.1670 0.3342 0.3340

***

11.
DFT (PBE) results for a relaxed Ge2AsI crystal.

Summary:
- Polymorph energy (0 for the lowest one): 109 meV per atom
- ΔE_f (raw): 251 meV/atom

Cell lengths 7.4753, 7.4753, 6.7689 Å; angles 56.48, 56.48, 90.00 degrees
Fractional coordinates of all 8 atoms:
I 0.0000 0.0000 0.0000
I 0.7500 0.2500 0.5000
As 0.5000 0.5000 0.0000
As 0.2500 0.7500 0.5000
Ge 0.5688 0.1250 0.2500
Ge 0.1812 0.6250 0.2500
Ge 0.3750 0.4312 0.7500
Ge 0.8750 0.8188 0.7500

***

12.
DFT (PBE) results for a relaxed Ge2AsI crystal.

Summary:
- Polymorph energy (0 for the lowest one): 325 meV per atom
- ΔE_f (raw): 467 meV/atom

Cell lengths 5.1027, 5.1027, 5.1027 Å; angles 60.00, 60.00, 60.00 degrees
Fractional coordinates of all 4 atoms:
I 0.5000 0.5000 0.5000
As 0.0000 0.0000 0.0000
Ge 0.2500 0.2500 0.2500
Ge 0.7500 0.7500 0.7500

***

Total energy? In order: -5.86, -6.80, -6.72, -6.16, -5.92, -5.79, -5.95, -5.65, -5.73, -5.62, -3.61, -3.39 eV per atom.